Computed, not measured: crystalline LiBeAu2 at its relaxed geometry at the GGA-PBE level of DFT.

Lattice parameters (Å, degrees): 4.353 2.900 4.354 90.01 90.00 90.00
Sites, in units of the cell vectors:
Au: 0.000 0.125 0.875
Au: 0.500 0.125 0.375
Li: 0.500 0.625 0.875
Be: 0.000 0.624 0.375

Calculated values
The value obtained for the total moment is 0.0 μB/cell. The value obtained for the electronic total energy is -3.3863 eV/atom. Its calculated formation energy is -0.338 eV per atom. The symmetry is P4/mmm (123).